*one*
! Mg6NbMo (GGA-PBE, relaxed); values from VASP
&SYSTEM
  ibrav = 0, nat = 8, ntyp = 3
/
ATOMIC_SPECIES
Mg 24.30 Mg.upf
Mo 95.94 Mo.upf
Nb 92.91 Nb.upf
CELL_PARAMETERS angstrom
3.010 -5.494 0.000
3.010 5.494 0.000
0.000 0.000 4.820
ATOMIC_POSITIONS crystal
Mg 0.670 0.330 0.000
Mg 0.318 0.168 0.500
Mg 0.668 0.816 0.000
Mg 0.184 0.332 0.000
Mg 0.828 0.172 0.500
Mg 0.832 0.682 0.500
Mo 0.308 0.692 0.500
Nb 0.192 0.808 0.000
! total moment = 0.00 μB per formula unit

=====

*two*
! Mg6NbMo (GGA-PBE, relaxed); values from VASP
&SYSTEM
  ibrav = 0, nat = 8, ntyp = 3
/
ATOMIC_SPECIES
Mg 24.30 Mg.upf
Mo 95.94 Mo.upf
Nb 92.91 Nb.upf
CELL_PARAMETERS angstrom
-5.314 -2.096 -2.487
2.967 -2.504 4.873
-2.609 2.939 3.099
ATOMIC_POSITIONS crystal
Mg 0.681 0.319 0.000
Mg 0.168 0.337 0.000
Mg 0.825 0.675 0.500
Mg 0.187 0.813 0.000
Mg 0.663 0.832 0.000
Mg 0.325 0.175 0.500
Mo 0.326 0.674 0.500
Nb 0.826 0.174 0.500
! total moment = 0.00 μB per formula unit

=====

The most stable of them is *one*.

=====

*one*
! Mg14NiMo (GGA-PBE, relaxed); values from VASP
&SYSTEM
  ibrav = 0, nat = 16, ntyp = 3
/
ATOMIC_SPECIES
Mg 24.30 Mg.upf
Mo 95.94 Mo.upf
Ni 58.69 Ni.upf
CELL_PARAMETERS angstrom
3.095 -5.361 0.000
3.095 5.361 0.000
0.000 0.000 9.810
ATOMIC_POSITIONS crystal
Mg 0.157 0.843 0.754
Mg 0.157 0.843 0.246
Mg 0.157 0.313 0.754
Mg 0.157 0.313 0.246
Mg 0.498 0.502 0.500
Mg 0.667 0.333 0.748
Mg 0.687 0.843 0.246
Mg 0.999 0.499 0.000
Mg 0.687 0.843 0.754
Mg 0.498 0.996 0.500
Mg 0.501 0.499 0.000
Mg 0.501 0.001 0.000
Mg 0.667 0.333 0.252
Mg 0.004 0.502 0.500
Mo 0.000 0.000 0.500
Ni 0.000 0.000 0.000
! total moment = 0.01 μB per formula unit

=====

*two*
! Mg14NiMo (GGA-PBE, relaxed); values from VASP
&SYSTEM
  ibrav = 0, nat = 16, ntyp = 3
/
ATOMIC_SPECIES
Mg 24.30 Mg.upf
Ni 58.69 Ni.upf
Mo 95.94 Mo.upf
CELL_PARAMETERS angstrom
2.253 5.690 0.953
-4.964 -1.895 3.182
5.907 -3.530 7.114
ATOMIC_POSITIONS crystal
Mg 0.334 0.167 0.000
Mg 0.172 0.828 0.255
Mg 0.335 0.157 0.500
Mg 0.843 0.665 0.500
Mg 0.671 0.329 0.737
Mg 0.158 0.338 0.275
Mg 0.662 0.842 0.275
Mg 0.158 0.338 0.725
Mg 0.662 0.842 0.725
Mg 0.336 0.664 0.000
Mg 0.671 0.329 0.263
Mg 0.833 0.666 0.000
Mg 0.172 0.828 0.745
Mg 0.835 0.165 0.000
Ni 0.829 0.171 0.500
Mo 0.329 0.671 0.500
! total moment = 1.18 μB per formula unit

=====

The most stable of them is *one*.

=====

*one*
! Mg6NiMo (GGA-PBE, relaxed); values from VASP
&SYSTEM
  ibrav = 0, nat = 8, ntyp = 3
/
ATOMIC_SPECIES
Mg 24.30 Mg.upf
Ni 58.69 Ni.upf
Mo 95.94 Mo.upf
CELL_PARAMETERS angstrom
-5.166 1.676 2.771
0.214 -1.423 -5.925
-0.904 -4.534 1.056
ATOMIC_POSITIONS crystal
Mg 0.325 0.173 0.500
Mg 0.168 0.340 0.000
Mg 0.687 0.313 0.000
Mg 0.176 0.824 0.000
Mg 0.660 0.832 0.000
Mg 0.827 0.675 0.500
Ni 0.833 0.167 0.500
Mo 0.324 0.676 0.500
! total moment = 1.48 μB per formula unit

=====

*two*
! Mg6NiMo (GGA-PBE, relaxed); values from VASP
&SYSTEM
  ibrav = 0, nat = 8, ntyp = 3
/
ATOMIC_SPECIES
Mg 24.30 Mg.upf
Ni 58.69 Ni.upf
Mo 95.94 Mo.upf
CELL_PARAMETERS angstrom
-2.646 5.542 -0.240
-1.424 -4.564 -3.862
-3.353 -1.472 2.976
ATOMIC_POSITIONS crystal
Mg 0.178 0.347 0.000
Mg 0.653 0.822 0.000
Mg 0.836 0.678 0.500
Mg 0.830 0.170 0.500
Mg 0.322 0.164 0.500
Mg 0.674 0.326 0.000
Ni 0.195 0.805 0.000
Mo 0.313 0.687 0.500
! total moment = 0.06 μB per formula unit

=====

The most stable of them is *two*.